KCo2AsP after structural relaxation. Source: the Alexandria database, functional GGA-PBE.

For the energy of formation from the pure elements, the calculation gives -466.5 meV per atom.

Cell: 7.4415 3.7292 7.4552 Å, 90.00 104.35 90.00°
Closest atoms and distances in Å follow each position.
Space group P2_1/m (No. 11)
Asymmetric unit:
K1 0.0543 0.2500 0.2485  3 P 3.26-3.31, 3 As 3.29-3.30, 1 Co 3.65
Co1 0.4975 0.2500 0.1213  3 P 2.19-2.20, 1 As 2.32
Co2 0.4971 0.7500 0.3713  1 P 2.19, 3 As 2.32
As1 0.3123 0.7500 0.5801  4 Co 2.32
P1 0.3353 0.7500 0.0833  4 Co 2.19-2.20

AsIr2W after structural relaxation. Source: the Alexandria database, functional GGA-PBE.

For the energy of formation from the pure elements, the calculation gives 199.2 meV per atom.

Cell: 2.8353 3.7017 5.9127 Å, 90.00 90.00 90.00°
Closest atoms and distances in Å follow each position.
Space group Pmm2 (No. 25)
Asymmetric unit:
As1 0.0000 0.0000 0.0000  5 Ir 2.63-2.83, 2 As 2.84
Ir1 0.0000 0.0000 0.4790  4 W 2.66, 1 As 2.83, 6 Ir 2.84
Ir2 0.5000 0.5000 0.2043  4 As 2.63, 6 Ir 2.84, 1 W 2.90
W1 0.5000 0.5000 0.6951  5 Ir 2.66-2.90, 2 W 2.84, 4 As 2.95

Li2Nd2Mg3 after structural relaxation. Source: the Alexandria database, functional GGA-PBE.

For the energy of formation from the pure elements, the calculation gives 32.3 meV per atom. Its excess energy over the best structure of this formula in the dataset is 59 meV/atom.

Cell: 10.5672 5.0198 7.1092 Å, 90.00 106.92 90.00°
Closest atoms and distances in Å follow each position.
Space group C2/m (No. 12)
Asymmetric unit:
Li1 0.0819 0.0000 0.1737  1 Li 2.57, 1 Mg 2.70
Nd1 0.1293 0.5000 0.8487  3 Li 3.10-3.33, 1 Mg 3.36
Mg1 0.0000 0.0000 0.5000  2 Li 2.70
Mg2 0.1994 0.5000 0.3655  2 Li 2.95, 3 Mg 3.04-3.15

Y6MgAl5 after structural relaxation. Source: the Alexandria database, functional GGA-PBE.

For the energy of formation from the pure elements, the calculation gives -388.4 meV per atom.

Cell: 5.1486 15.4846 7.2105 Å, 90.00 90.00 90.00°
Closest atoms and distances in Å follow each position.
Space group Cmmm (No. 65)
Asymmetric unit:
Y1 0.0000 0.0000 0.2437  6 Al 3.10-3.12, 2 Mg 3.17
Y2 0.0000 0.3301 0.2492  7 Al 3.12-3.19, 1 Mg 3.19
Mg1 0.0000 0.5000 0.5000  8 Y 3.17-3.19
Al1 0.0000 0.1603 0.5000  8 Y 3.10-3.19
Al2 0.0000 0.1654 0.0000  8 Y 3.11-3.14
Al3 0.0000 0.5000 0.0000  8 Y 3.12-3.19

BeZnPd2N after structural relaxation. Source: the Alexandria database, functional GGA-PBE.

The energy relative to the elements, uncorrected is 0.357 eV/atom.

Cell: 4.2491 4.2491 3.7276 Å, 90.00 90.00 90.00°
Closest atoms and distances in Å follow each position.
Space group P4/mmm (No. 123)
Asymmetric unit:
Be1 0.0000 0.0000 0.0000  8 Pd 2.83, 4 Zn 3.00
Zn1 0.5000 0.5000 0.0000  2 N 1.86
Pd1 0.0000 0.5000 0.5000  2 N 2.12
N1 0.5000 0.5000 0.5000  2 Zn 1.86

TaZnIn after structural relaxation. Source: the Alexandria database, functional GGA-PBE.

For the energy of formation from the pure elements, the calculation gives 639.3 meV per atom.

Cell: 6.2071 6.2071 6.2071 Å, 90.00 90.00 90.00°
Closest atoms and distances in Å follow each position.
Space group F-43m (No. 216)
Asymmetric unit:
Ta1 0.0000 0.0000 0.0000  4 Zn 2.69
Zn1 0.2500 0.2500 0.2500  4 Ta 2.69, 4 In 2.69
In1 0.0000 0.0000 0.5000  4 Zn 2.69

BeIr3 after structural relaxation. Source: the Alexandria database, functional GGA-PBE.

For the energy of formation from the pure elements, the calculation gives -58.9 meV per atom.

Cell: 2.7318 3.6971 5.3194 Å, 90.00 90.00 90.00°
Closest atoms and distances in Å follow each position.
Space group Pmmm (No. 47)
Asymmetric unit:
Be1 0.0000 0.0000 0.0000  10 Ir 2.63-2.66, 2 Be 2.73
Ir1 0.0000 0.0000 0.5000  2 Be 2.66, 10 Ir 2.68-2.73
Ir2 0.5000 0.5000 0.2393  8 Ir 2.55-2.77, 4 Be 2.63

Rb2TcRu after structural relaxation. Source: the Alexandria database, functional GGA-PBE.

For the energy of formation from the pure elements, the calculation gives 1334.8 meV per atom. Its excess energy over the best structure of this formula in the dataset is 0 meV/atom.

Cell: 13.0560 13.0560 4.5619 Å, 90.00 90.00 90.00°
Closest atoms and distances in Å follow each position.
Space group I-42d (No. 122)
Asymmetric unit:
Rb1 0.0676 0.2500 0.1250  2 Ru 3.43, 2 Tc 3.79
Tc1 0.0000 0.0000 0.5000  2 Ru 2.28
Ru1 0.0000 0.0000 0.0000  2 Tc 2.28

PaBeIr after structural relaxation. Source: the Alexandria database, functional GGA-PBE.

For the energy of formation from the pure elements, the calculation gives -551.1 meV per atom. Its excess energy over the best structure of this formula in the dataset is 83 meV/atom.

Cell: 4.1334 4.1334 3.5510 Å, 90.00 90.00 120.00°
Closest atoms and distances in Å follow each position.
Space group P-6m2 (No. 187)
Asymmetric unit:
Pa1 0.0000 0.0000 0.0000  6 Be 2.97, 6 Ir 2.97
Be1 0.6667 0.3333 0.5000  3 Ir 2.39
Ir1 0.3333 0.6667 0.5000  3 Be 2.39

Er6Sn2Te3Pb after structural relaxation. Source: the Alexandria database, functional GGA-PBE.

The energy relative to the elements, uncorrected is -0.959 eV/atom.

Cell: 19.0732 4.3727 8.7487 Å, 90.00 103.60 90.00°
Closest atoms and distances in Å follow each position.
Space group C2/m (No. 12)
Asymmetric unit:
Er1 0.0035 0.0000 0.2452  1 Sn 3.03, 2 Pb 3.05, 3 Te 3.13-3.15
Er2 0.1650 0.5000 0.0928  2 Sn 3.03, 1 Pb 3.06, 3 Te 3.13-3.16
Er3 0.1702 0.5000 0.5747  3 Sn 3.03, 3 Te 3.16
Sn1 0.1666 0.0000 0.3332  6 Er 3.03
Te1 0.0000 0.5000 0.5000  6 Er 3.13-3.16
Te2 0.1663 0.0000 0.8329  6 Er 3.13-3.16
Pb1 0.0000 0.5000 0.0000  6 Er 3.05-3.06

Ce3TaPt12 after structural relaxation. Source: the Alexandria database, functional GGA-PBE.

For the energy of formation from the pure elements, the calculation gives -882.0 meV per atom.

Cell: 4.1332 4.1332 16.5479 Å, 90.00 90.00 90.00°
Closest atoms and distances in Å follow each position.
Space group P4/mmm (No. 123)
Asymmetric unit:
Ce1 0.0000 0.0000 0.0000  12 Pt 2.92-2.95
Ce2 0.0000 0.0000 0.2527  12 Pt 2.92-3.03
Ta1 0.0000 0.0000 0.5000  12 Pt 2.79-2.92
Pt1 0.0000 0.5000 0.1275  8 Pt 2.92-2.99, 4 Ce 2.93-2.95
Pt2 0.0000 0.5000 0.3868  8 Pt 2.79-2.96, 2 Ta 2.79, 2 Ce 3.03
Pt3 0.5000 0.5000 0.0000  4 Ce 2.92, 8 Pt 2.95
Pt4 0.5000 0.5000 0.2584  4 Ce 2.92, 8 Pt 2.96-2.99
Pt5 0.5000 0.5000 0.5000  8 Pt 2.79, 4 Ta 2.92

BaTeAu2Cl after structural relaxation. Source: the Alexandria database, functional GGA-PBE.

The energy relative to the elements, uncorrected is -0.199 eV/atom.

Cell: 4.9204 4.9204 7.6425 Å, 90.00 90.00 90.00°
Closest atoms and distances in Å follow each position.
Space group P4/mmm (No. 123)
Asymmetric unit:
Ba1 0.0000 0.0000 0.0000  4 Te 3.48
Te1 0.5000 0.5000 0.0000  4 Ba 3.48, 2 Cl 3.82
Au1 0.0000 0.5000 0.5000  2 Cl 2.46
Cl1 0.5000 0.5000 0.5000  4 Au 2.46

Computed total moment, in the same sequence as the records: 0.0; 0.0; 0.0; 0.0; 0.0; 0.0; 0.0; 2.9; 0.0; 0.0; 1.3; 0.0 μB per formula unit.